## A
First-principles (PBE) data for SbWAuI2 after structural relaxation, as listed in the Alexandria database.

N(E_F): 4.815 states/eV per cell
total moment: 0.275 μB per formula unit

Cell: 5.370 5.370 5.379 Å, 90.00 90.00 90.00°
Space group P4/mmm (No. 123)
Symmetry-distinct sites (fractional):
Sb (0.000, 0.000, 0.000) (multiplicity 1)
W (0.000, 0.000, 0.500) (multiplicity 1)
Au (0.500, 0.500, 0.000) (multiplicity 1)
I (0.000, 0.500, 0.500) (multiplicity 2)

=====

## B
First-principles (PBE) data for SbWAuI2 after structural relaxation, as listed in the Alexandria database.

N(E_F): 6.295 states/eV per cell
total moment: 3.628 μB per formula unit

Cell: 5.490 5.490 5.572 Å, 90.00 90.00 90.00°
Space group P4/mmm (No. 123)
Symmetry-distinct sites (fractional):
Sb (0.000, 0.000, 0.000) (multiplicity 1)
W (0.500, 0.500, 0.000) (multiplicity 1)
Au (0.000, 0.000, 0.500) (multiplicity 1)
I (0.000, 0.500, 0.500) (multiplicity 2)

=====

It is B that is the least stable of them.

=====

## A
First-principles (PBE) data for YSb2AuI after structural relaxation, as listed in the Alexandria database.

N(E_F): 4.880 states/eV per cell
total moment: 0.311 μB per formula unit

Cell: 5.900 5.900 5.763 Å, 90.00 90.00 90.00°
Space group P4/mmm (No. 123)
Symmetry-distinct sites (fractional):
Y (0.000, 0.000, 0.000) (multiplicity 1)
Sb (0.000, 0.500, 0.000) (multiplicity 2)
Au (0.500, 0.500, 0.500) (multiplicity 1)
I (0.000, 0.000, 0.500) (multiplicity 1)

=====

## B
First-principles (PBE) data for YSb2AuI after structural relaxation, as listed in the Alexandria database.

N(E_F): 3.059 states/eV per cell
total moment: 0.000 μB per formula unit

Cell: 5.400 5.400 5.525 Å, 90.00 90.00 90.00°
Space group P4/mmm (No. 123)
Symmetry-distinct sites (fractional):
Y (0.000, 0.000, 0.000) (multiplicity 1)
Sb (0.000, 0.500, 0.500) (multiplicity 2)
Au (0.500, 0.500, 0.500) (multiplicity 1)
I (0.500, 0.500, 0.000) (multiplicity 1)

=====

It is A that is the least stable of them.

=====

## A
First-principles (PBE) data for ZnSbAuI2 after structural relaxation, as listed in the Alexandria database.

N(E_F): 5.624 states/eV per cell
total moment: 0.000 μB per formula unit

Cell: 5.469 5.469 5.388 Å, 90.00 90.00 90.00°
Space group P4/mmm (No. 123)
Symmetry-distinct sites (fractional):
Zn (0.000, 0.000, 0.000) (multiplicity 1)
Sb (0.000, 0.000, 0.500) (multiplicity 1)
Au (0.500, 0.500, 0.500) (multiplicity 1)
I (0.000, 0.500, 0.000) (multiplicity 2)

=====

## B
First-principles (PBE) data for ZnSbAuI2 after structural relaxation, as listed in the Alexandria database.

N(E_F): 4.125 states/eV per cell
total moment: 1.041 μB per formula unit

Cell: 5.742 5.742 5.457 Å, 90.00 90.00 90.00°
Space group P4/mmm (No. 123)
Symmetry-distinct sites (fractional):
Zn (0.000, 0.000, 0.000) (multiplicity 1)
Sb (0.500, 0.500, 0.000) (multiplicity 1)
Au (0.500, 0.500, 0.500) (multiplicity 1)
I (0.000, 0.500, 0.500) (multiplicity 2)

=====

It is A that is the least stable of them.